Record 1
A plane-wave DFT calculation with PBE was carried out for a relaxed Sr3Ge4Pt2 crystal.

Calculated values
Total moment ... 0.0 μB per formula unit
DFT formation energy ... -0.787 eV/atom
Energy above the lowest structure with this stoichiometry ... 0.000 eV per atom

Unit cell a=12.1069 b=4.2010 c=8.9616 alpha=90.00 beta=97.81 gamma=90.00
Space group C2/m (No. 12)
Symmetry-distinct sites (fractional):
Sr: 0.0000 0.0000 0.0000 [2 per cell]
Sr: 0.1696 0.5000 0.6638 [4 per cell]
Ge: 0.0522 0.0000 0.3863 [4 per cell]
Ge: 0.2190 0.5000 0.0632 [4 per cell]
Pt: 0.1090 0.5000 0.2781 [4 per cell]

Record 2
A plane-wave DFT calculation with PBE was carried out for a relaxed SrGePt3 crystal.

Calculated values
Total moment ... 0.0 μB per formula unit
DFT formation energy ... -0.607 eV/atom
Energy above the lowest structure with this stoichiometry ... 0.144 eV per atom

Unit cell a=6.0959 b=6.0959 c=6.3772 alpha=90.00 beta=90.00 gamma=120.00
Space group P6_3/mmc (No. 194)
Symmetry-distinct sites (fractional):
Sr: 0.3333 0.6667 0.2500 [2 per cell]
Ge: 0.0000 0.0000 0.0000 [2 per cell]
Pt: 0.1845 0.3690 0.7500 [6 per cell]

Record 3
A plane-wave DFT calculation with PBE was carried out for a relaxed SrGePt3 crystal.

Calculated values
Total moment ... 0.0 μB per formula unit
DFT formation energy ... 1.509 eV/atom
Energy above the lowest structure with this stoichiometry ... 2.260 eV per atom

Unit cell a=5.2258 b=5.2258 c=5.2258 alpha=90.00 beta=90.00 gamma=90.00
Space group Pm-3m (No. 221)
Symmetry-distinct sites (fractional):
Sr: 0.0000 0.0000 0.0000 [1 per cell]
Ge: 0.5000 0.5000 0.5000 [1 per cell]
Pt: 0.0000 0.0000 0.5000 [3 per cell]